VASP calculation (PBE) on a relaxed structure of RbSiC3.

Unit cell a=4.541 b=4.541 c=4.541 alpha=90.00 beta=90.00 gamma=90.00
Space group Pm-3m (No. 221)
Unique sites:
Rb1 0.000 0.000 0.000
Si1 0.500 0.500 0.500
C1 0.000 0.000 0.500

Computed properties:
- excess energy over the best structure of this formula in the dataset (meV/atom) = 2380
- uncorrected formation energy (eV/atom) = 4.495
- DOS(E_F) (states/eV per cell) = 4.9